VASP calculation (PBE) on crystalline Rb2Ca2BiO6 at its relaxed geometry.

Formation energy without anion corrections   -1.735 eV per atom
Space group   No. 12

Lattice parameters (Å, degrees): 6.046 6.046 6.972 99.01 99.01 119.58
Fractional positions:
Rb 0.170 0.830 0.000
Rb 0.830 0.170 0.000
Ca 0.338 0.662 0.500
Ca 0.662 0.338 0.500
Bi 0.000 0.000 0.500
O 0.052 0.364 0.671
O 0.238 0.238 0.327
O 0.364 0.052 0.671
O 0.636 0.948 0.329
O 0.762 0.762 0.673
O 0.948 0.636 0.329


VASP calculation (PBE) on crystalline NpZn3Pt2 at its relaxed geometry.

Formation energy   -2.33 eV/f.u.
Space group   No. 12

Lattice parameters (Å, degrees): 8.833 8.833 9.962 103.91 103.91 25.82
Fractional positions:
Np 0.000 0.000 0.000
Np 0.160 0.160 0.721
Np 0.840 0.840 0.279
Zn 0.048 0.048 0.350
Zn 0.212 0.212 0.403
Zn 0.329 0.329 0.028
Zn 0.374 0.374 0.783
Zn 0.500 0.500 0.500
Zn 0.626 0.626 0.217
Zn 0.671 0.671 0.972
Zn 0.788 0.788 0.597
Zn 0.952 0.952 0.650
Pt 0.206 0.206 0.143
Pt 0.361 0.361 0.512
Pt 0.467 0.467 0.205
Pt 0.533 0.533 0.795
Pt 0.639 0.639 0.488
Pt 0.794 0.794 0.857


VASP calculation (PBE) on crystalline BaCeSm2 at its relaxed geometry.

Formation energy   3.03 eV/f.u.
Space group   No. 166
E above lowest polymorph   603 meV per atom

Lattice parameters (Å, degrees): 10.591 10.591 10.591 23.14 23.14 23.14
Fractional positions:
Ba 0.000 0.000 0.000
Ce 0.500 0.500 0.500
Sm 0.117 0.117 0.117
Sm 0.883 0.883 0.883


VASP calculation (PBE) on crystalline CeErAl2Si at its relaxed geometry.

Formation energy without anion corrections   -0.401 eV per atom
Space group   No. 44

Lattice parameters (Å, degrees): 6.799 6.799 6.799 142.99 142.87 53.43
Fractional positions:
Ce 0.000 0.000 0.000
Er 0.259 0.759 0.500
Al 0.605 0.605 0.000
Al 0.753 0.253 0.500
Si 0.404 0.404 0.000


VASP calculation (PBE) on crystalline SrSc at its relaxed geometry.

Formation energy   0.81 eV/f.u.
Space group   No. 187
E above lowest polymorph   208 meV per atom

Lattice parameters (Å, degrees): 3.685 3.685 6.040 90.00 90.00 120.00
Fractional positions:
Sr 0.000 0.000 0.000
Sc 0.667 0.333 0.500


VASP calculation (PBE) on crystalline TaInFe at its relaxed geometry.

Formation energy   0.33 eV/f.u.
Space group   No. 107

Lattice parameters (Å, degrees): 5.883 5.883 5.883 150.36 150.36 42.42
Fractional positions:
Ta 0.000 0.000 0.000
In 0.295 0.295 0.000
Fe 0.628 0.628 0.000


VASP calculation (PBE) on crystalline Ba2HoAs2O6 at its relaxed geometry.

Formation energy without anion corrections   -2.171 eV per atom
Space group   No. 12

Lattice parameters (Å, degrees): 7.074 7.074 6.532 115.10 115.10 47.19
Fractional positions:
Ba 0.235 0.235 0.232
Ba 0.765 0.765 0.768
Ho 0.000 0.000 0.500
As 0.492 0.492 0.193
As 0.508 0.508 0.807
O 0.171 0.171 0.806
O 0.180 0.654 0.656
O 0.346 0.820 0.344
O 0.654 0.180 0.656
O 0.820 0.346 0.344
O 0.829 0.829 0.194


VASP calculation (PBE) on crystalline Be2TlSe at its relaxed geometry.

Formation energy without anion corrections   0.514 eV per atom
Space group   No. 10
E above lowest polymorph   474 meV per atom

Lattice parameters (Å, degrees): 3.576 3.478 6.225 90.00 102.78 90.00
Fractional positions:
Be 0.000 0.000 0.000
Be 0.000 0.000 0.500
Tl 0.500 0.500 0.000
Se 0.500 0.500 0.500


| no. | E_tot (eV/atom) | DOS at the Fermi energy (states/eV per cell) |
| --- | --- | --- |
| 1 | -5.33 | 8.004 |
| 2 | -5.20 | 33.317 |
| 3 | -3.57 | 7.930 |
| 4 | -5.08 | 7.681 |
| 5 | -3.60 | 3.782 |
| 6 | -7.57 | 2.467 |
| 7 | -6.49 | 5.380 |
| 8 | -2.81 | 1.425 |